# 1
Material: ReTePI2
Method: DFT, SCAN
State: single point on PBEsol structure

Output
**Final energy**: -36.93 eV per atom
**E_form (uncorrected)**: 146 kJ/mol of atoms

abc: 5.3190 5.3190 5.2539
angles: 90.00 90.00 90.00
With the nearest neighbours (Å) after each atom.
Positions (direct):
Re 0.5000 0.5000 0.5000  8 I 3.74, 4 Te 3.76
I 0.0000 0.5000 0.0000  2 P 2.66
I 0.5000 0.0000 0.0000  2 P 2.66
P 0.0000 0.0000 0.0000  2 Te 2.63, 4 I 2.66
Te 0.0000 0.0000 0.5000  2 P 2.63


# 2
Material: PRhI2
Method: DFT, SCAN
State: single point on PBEsol structure

Output
**Final energy**: -28.35 eV per atom
**E_form (uncorrected)**: 102 kJ/mol of atoms

abc: 4.8681 4.8681 4.8681
angles: 60.00 60.00 60.00
With the nearest neighbours (Å) after each atom.
Positions (direct):
Rh 0.5000 0.5000 0.5000  8 I 2.98
I 0.7500 0.7500 0.7500  4 Rh 2.98, 4 P 2.98
P 0.0000 0.0000 0.0000  8 I 2.98
I 0.2500 0.2500 0.2500  4 P 2.98, 4 Rh 2.98


What is the formula in the second record?
PRhI2